1.
A relaxed structure of Li2Ca2NbN4, computed with PBE-GGA.

a b c (Å): 6.1358 6.1358 5.8560
angles (deg): 110.39 110.39 30.39
With the nearest neighbours (Å) after each atom.
Fractional coordinates of all 9 atoms:
Li1 0.1816 0.1816 0.4918  4 N 1.93-2.13
Li2 0.8184 0.8184 0.5082  4 N 1.93-2.13
Ca1 0.3616 0.3616 0.9397  7 N 2.45-2.72, 1 Li 2.72
Ca2 0.6384 0.6384 0.0603  7 N 2.45-2.72, 1 Li 2.72
Nb1 0.5000 0.5000 0.5000  6 N 2.17
N1 0.0164 0.0164 0.2654  1 Li 1.93
N2 0.3055 0.3055 0.3032  3 Li 1.98-2.13, 1 Nb 2.17
N3 0.6945 0.6945 0.6968  3 Li 1.98-2.13, 1 Nb 2.17
N4 0.9836 0.9836 0.7346  1 Li 1.93

Output
DFT total energy, eV for the cell shown: -57.105
Space-group type: C2/m (12)
Raw formation energy, eV/atom: -0.6559

---

2.
A relaxed structure of LiCaNb2N4, computed with PBE-GGA.

a b c (Å): 5.4803 5.4803 10.7276
angles (deg): 90.00 90.00 146.08
With the nearest neighbours (Å) after each atom.
Fractional coordinates of all 16 atoms:
Li1 0.1687 0.8313 0.7500  4 N 1.86-1.89
Li2 0.8313 0.1687 0.2500  4 N 1.86-1.89
Ca1 0.1040 0.8960 0.2500  6 N 2.44-2.59
Ca2 0.8960 0.1040 0.7500  6 N 2.44-2.59
Nb1 0.3703 0.6297 0.0550  6 N 2.04-2.24
Nb2 0.3703 0.6297 0.4450  6 N 2.04-2.24
Nb3 0.6297 0.3703 0.5550  6 N 2.04-2.24
Nb4 0.6297 0.3703 0.9450  6 N 2.04-2.24
N1 0.0000 0.0000 0.0000  4 Nb 2.18
N2 0.0000 0.0000 0.5000  4 Nb 2.18
N3 0.2691 0.7309 0.6069  1 Li 1.86, 1 Nb 2.04
N4 0.2691 0.7309 0.8931  1 Li 1.86, 1 Nb 2.04
N5 0.4277 0.5723 0.2500  2 Li 1.89
N6 0.5723 0.4277 0.7500  2 Li 1.89
N7 0.7309 0.2691 0.1069  1 Li 1.86, 1 Nb 2.04
N8 0.7309 0.2691 0.3931  1 Li 1.86, 1 Nb 2.04

Output
DFT total energy, eV for the cell shown: -130.555
Space-group type: Cmcm (63)
Raw formation energy, eV/atom: -0.9901

---

3.
A relaxed structure of LiCaNb4N8, computed with PBE-GGA.

a b c (Å): 6.3975 6.3975 6.3975
angles (deg): 59.80 59.80 59.80
With the nearest neighbours (Å) after each atom.
Fractional coordinates of all 14 atoms:
Li1 0.0000 0.0000 0.0000  6 N 2.24-2.30
Ca1 0.3793 0.3793 0.3793  4 N 2.22-2.24
Nb1 0.0057 0.0057 0.4829  3 N 1.97-2.10
Nb2 0.0057 0.4829 0.0057  3 N 1.97-2.10
Nb3 0.4829 0.0057 0.0057  3 N 1.97-2.10
Nb4 0.6243 0.6243 0.6243  4 N 1.96-2.12
N1 0.2376 0.2376 0.2376  3 Nb 2.10, 1 Ca 2.22
N2 0.2447 0.2447 0.8093  2 Nb 1.97
N3 0.2447 0.8093 0.2447  2 Nb 1.97
N4 0.2476 0.7451 0.7451  1 Nb 1.96
N5 0.7451 0.2476 0.7451  1 Nb 1.96
N6 0.7451 0.7451 0.2476  1 Nb 1.96
N7 0.7591 0.7591 0.7591  4 Nb 2.12-2.23
N8 0.8093 0.2447 0.2447  2 Nb 1.97

Output
DFT total energy, eV for the cell shown: -120.013
Space-group type: R3m (160)
Raw formation energy, eV/atom: -0.6583